Crystalline YCrFe2 at its relaxed geometry, computed with PBE-GGA.

excess energy over the best structure of this formula in the dataset	78	meV per atom
DOS at the Fermi energy	5.31	states/eV per cell
SG	R3m

a = 5.5729 Å, b = 5.5729 Å, c = 5.5729 Å
α = 41.79°, β = 41.79°, γ = 41.79°
Last column: nearest neighbours and their distance in Å.
Element x y z (fractional)
Y  0.0000  0.0000  0.0000  4 Cr 2.91-3.16, 7 Fe 3.02-3.22
Cr  0.8091  0.8091  0.8091  6 Fe 2.30-2.45
Fe  0.1982  0.1982  0.1982  3 Fe 2.42, 3 Cr 2.45
Fe  0.4817  0.4817  0.4817  3 Cr 2.30, 3 Fe 2.42